A relaxed structure of Re2NiP. Source: Alexandria, functional PBE-GGA.

Output
- size of the total moment (μB per formula unit) = 0.00
- energy of formation from the pure elements (eV/atom) = 0.423
- space group = Cmmm (65)
- calculated total energy (eV per atom) = -8.60

Lattice parameters (Å, degrees): 2.765 2.765 8.020 90.00 90.00 116.21
Positions (direct):
Ni (0.500, 0.500, 0.500)
P (0.500, 0.500, 0.000)
Re (0.000, 0.000, 0.235)
Re (0.000, 0.000, 0.765)